1.
The following is a DFT calculation (PBE-GGA) of a relaxed NdPu2Si6 crystal.

Summary:
DFT total energy = -70.45 eV/cell

The structure in CIF format:
```
data_NdPu2Si6
_space_group_name_H-M_alt 'P 1'
_space_group_IT_number 1
_space_group_name_Hall 'P 1'
_cell_length_a 3.991
_cell_length_b 7.058
_cell_length_c 7.058
_cell_angle_alpha 120.00
_cell_angle_beta 90.00
_cell_angle_gamma 90.00
loop_
_atom_site_label
_atom_site_fract_x
_atom_site_fract_y
_atom_site_fract_z
Si1 0.500 0.665 0.665
Si2 0.500 0.335 0.000
Si3 0.500 0.000 0.335
Si4 0.500 0.335 0.335
Si5 0.500 0.665 0.000
Si6 0.500 0.000 0.665
Pu1 0.000 0.333 0.667
Pu2 0.000 0.667 0.333
Nd1 0.000 0.000 0.000
```

2.
The following is a DFT calculation (PBE-GGA) of a relaxed NdPu2Zn2Si2 crystal.

Summary:
DFT total energy = -48.69 eV/cell

The structure in CIF format:
```
data_NdPu2Zn2Si2
_space_group_name_H-M_alt 'P 1'
_space_group_IT_number 1
_space_group_name_Hall 'P 1'
_cell_length_a 4.026
_cell_length_b 4.026
_cell_length_c 9.490
_cell_angle_alpha 77.75
_cell_angle_beta 77.75
_cell_angle_gamma 60.00
loop_
_atom_site_label
_atom_site_fract_x
_atom_site_fract_y
_atom_site_fract_z
Pu1 0.151 0.151 0.546
Pu2 0.849 0.849 0.454
Nd1 0.000 0.000 0.000
Zn1 0.590 0.590 0.230
Zn2 0.410 0.410 0.770
Si1 0.256 0.256 0.233
Si2 0.744 0.744 0.767
```

3.
The following is a DFT calculation (PBE-GGA) of a relaxed Nd3Sm6Pu crystal.

Summary:
E_form = 2.42 eV/f.u.

The structure in CIF format:
```
data_Nd3Sm6Pu
_space_group_name_H-M_alt 'P 1'
_space_group_IT_number 1
_space_group_name_Hall 'P 1'
_cell_length_a 9.965
_cell_length_b 9.965
_cell_length_c 6.980
_cell_angle_alpha 44.45
_cell_angle_beta 44.45
_cell_angle_gamma 60.00
loop_
_atom_site_label
_atom_site_fract_x
_atom_site_fract_y
_atom_site_fract_z
Pu1 0.899 0.899 0.302
Sm1 0.900 0.584 0.299
Sm2 0.072 0.401 0.799
Sm3 0.217 0.900 0.299
Sm4 0.584 0.217 0.299
Sm5 0.401 0.729 0.799
Sm6 0.729 0.072 0.799
Nd1 0.141 0.141 0.578
Nd2 0.658 0.658 0.026
Nd3 0.399 0.399 0.802
```

4.
The following is a DFT calculation (PBE-GGA) of a relaxed NdSm2Pu crystal.

Summary:
E above lowest polymorph = 0.009 eV/atom
E_form = 0.49 eV/f.u.

The structure in CIF format:
```
data_NdSm2Pu
_space_group_name_H-M_alt 'P 1'
_space_group_IT_number 1
_space_group_name_Hall 'P 1'
_cell_length_a 3.605
_cell_length_b 3.605
_cell_length_c 11.836
_cell_angle_alpha 81.24
_cell_angle_beta 81.24
_cell_angle_gamma 60.00
loop_
_atom_site_label
_atom_site_fract_x
_atom_site_fract_y
_atom_site_fract_z
Sm1 0.253 0.253 0.242
Sm2 0.081 0.081 0.758
Pu1 0.666 0.666 0.001
Nd1 0.500 0.500 0.499
```

5.
The following is a DFT calculation (PBE-GGA) of a relaxed Nd6Sm8Pu crystal.

Summary:
E_form = 3.93 eV/f.u.

The structure in CIF format:
```
data_Nd6Sm8Pu
_space_group_name_H-M_alt 'P 1'
_space_group_IT_number 1
_space_group_name_Hall 'P 1'
_cell_length_a 8.798
_cell_length_b 8.798
_cell_length_c 8.798
_cell_angle_alpha 65.56
_cell_angle_beta 65.56
_cell_angle_gamma 65.56
loop_
_atom_site_label
_atom_site_fract_x
_atom_site_fract_y
_atom_site_fract_z
Nd1 0.369 0.662 0.091
Nd2 0.909 0.631 0.338
Nd3 0.631 0.338 0.909
Nd4 0.091 0.369 0.662
Nd5 0.338 0.909 0.631
Nd6 0.662 0.091 0.369
Sm1 0.758 0.758 0.758
Sm2 0.162 0.587 0.878
Sm3 0.838 0.413 0.122
Sm4 0.413 0.122 0.838
Sm5 0.878 0.162 0.587
Sm6 0.122 0.838 0.413
Sm7 0.242 0.242 0.242
Sm8 0.587 0.878 0.162
Pu1 0.000 0.000 0.000
```

6.
The following is a DFT calculation (PBE-GGA) of a relaxed Nd4Sm8Pu crystal.

Summary:
E_form = 6.70 eV/f.u.

The structure in CIF format:
```
data_Nd4Sm8Pu
_space_group_name_H-M_alt 'P 1'
_space_group_IT_number 1
_space_group_name_Hall 'P 1'
_cell_length_a 7.872
_cell_length_b 7.872
_cell_length_c 7.872
_cell_angle_alpha 90.17
_cell_angle_beta 90.17
_cell_angle_gamma 90.17
loop_
_atom_site_label
_atom_site_fract_x
_atom_site_fract_y
_atom_site_fract_z
Sm1 0.756 0.242 0.242
Sm2 0.757 0.757 0.757
Sm3 0.242 0.756 0.242
Sm4 0.244 0.758 0.758
Sm5 0.758 0.758 0.244
Sm6 0.758 0.244 0.758
Sm7 0.242 0.242 0.756
Sm8 0.243 0.243 0.243
Nd1 0.000 0.500 0.500
Nd2 0.500 0.500 0.000
Nd3 0.000 0.000 0.000
Nd4 0.500 0.000 0.500
Pu1 0.500 0.500 0.500
```

7.
The following is a DFT calculation (PBE-GGA) of a relaxed Nd4Sm3Pu crystal.

Summary:
E_form = 1.18 eV/f.u.

The structure in CIF format:
```
data_Nd4Sm3Pu
_space_group_name_H-M_alt 'P 1'
_space_group_IT_number 1
_space_group_name_Hall 'P 1'
_cell_length_a 3.513
_cell_length_b 11.762
_cell_length_c 8.983
_cell_angle_alpha 130.87
_cell_angle_beta 101.21
_cell_angle_gamma 90.00
loop_
_atom_site_label
_atom_site_fract_x
_atom_site_fract_y
_atom_site_fract_z
Nd1 0.369 0.118 0.738
Nd2 0.369 0.620 0.738
Nd3 0.631 0.380 0.262
Nd4 0.631 0.882 0.262
Sm1 0.768 0.768 0.536
Sm2 0.232 0.232 0.464
Sm3 0.000 0.500 0.000
Pu1 0.500 0.000 0.000
```

8.
The following is a DFT calculation (PBE-GGA) of a relaxed NdSm2Pu crystal.

Summary:
E above lowest polymorph = 0.000 eV/atom
E_form = 0.45 eV/f.u.

The structure in CIF format:
```
data_NdSm2Pu
_space_group_name_H-M_alt 'P 1'
_space_group_IT_number 1
_space_group_name_Hall 'P 1'
_cell_length_a 3.567
_cell_length_b 3.567
_cell_length_c 10.238
_cell_angle_alpha 90.00
_cell_angle_beta 90.00
_cell_angle_gamma 90.00
loop_
_atom_site_label
_atom_site_fract_x
_atom_site_fract_y
_atom_site_fract_z
Sm1 0.000 0.000 0.260
Sm2 0.000 0.000 0.740
Nd1 0.500 0.500 0.000
Pu1 0.500 0.500 0.500
```